No. 1
First-principles (GGA-PBE) data for a relaxed LiCrBi crystal, as listed in the Alexandria database.

Output
Fermi-level density of states = 0.727 states/eV per atom
calculated formation energy = 0.145 eV/atom
uncorrected energy = -4.99 eV per atom

Geometry as CIF:
```
data_LiCrBi
_cell_length_a 3.9482
_cell_length_b 3.9482
_cell_length_c 7.1466
_cell_angle_alpha 90.00
_cell_angle_beta 90.00
_cell_angle_gamma 90.00
_space_group_name_H-M_alt 'P 4/n m m'
_space_group_IT_number 129
loop_
_space_group_symop_operation_xyz
'x,y,z'
'-x,-y,-z'
'-y+1/2,x,z'
'y+1/2,-x,-z'
'-x+1/2,-y+1/2,z'
'x+1/2,y+1/2,-z'
'y,-x+1/2,z'
'-y,x+1/2,-z'
'x+1/2,-y,-z'
'-x+1/2,y,z'
'-y,-x,-z'
'y,x,z'
'-x,y+1/2,-z'
'x,-y+1/2,z'
'y+1/2,x+1/2,-z'
'-y+1/2,-x+1/2,z'
loop_
_atom_site_label
_atom_site_type_symbol
_atom_site_fract_x
_atom_site_fract_y
_atom_site_fract_z
Li1 Li 0.2500 0.2500 0.1887
Cr1 Cr 0.2500 0.7500 0.5000
Bi1 Bi 0.2500 0.2500 0.7693
```



No. 2
First-principles (GGA-PBE) data for a relaxed HPbS crystal, as listed in the Alexandria database.

Output
Fermi-level density of states = 0.000 states/eV per atom
uncorrected energy = -4.07 eV per atom

Geometry as CIF:
```
data_HPbS
_cell_length_a 8.6632
_cell_length_b 4.2313
_cell_length_c 8.4483
_cell_angle_alpha 90.00
_cell_angle_beta 98.93
_cell_angle_gamma 90.00
_space_group_name_H-M_alt 'P 1 21/c 1'
_space_group_IT_number 14
_space_group_name_Hall '-P 2ybc'
loop_
_atom_site_label
_atom_site_type_symbol
_atom_site_fract_x
_atom_site_fract_y
_atom_site_fract_z
H1 H 0.0379 0.0432 0.0145
Pb1 Pb 0.3325 0.7501 0.3478
S1 S 0.3530 0.2493 0.6016
```



No. 3
First-principles (GGA-PBE) data for a relaxed Rb2ScSCl6 crystal, as listed in the Alexandria database.

Output
Fermi-level density of states = 1.243 states/eV per atom
uncorrected energy = -3.77 eV per atom

Geometry as CIF:
```
data_Rb2ScSCl6
_cell_length_a 8.1896
_cell_length_b 8.1896
_cell_length_c 9.0939
_cell_angle_alpha 90.00
_cell_angle_beta 90.00
_cell_angle_gamma 90.00
_space_group_name_H-M_alt 'I 4/m m m'
_space_group_IT_number 139
_space_group_name_Hall '-I 4 2'
loop_
_atom_site_label
_atom_site_type_symbol
_atom_site_fract_x
_atom_site_fract_y
_atom_site_fract_z
Rb1 Rb 0.0000 0.5000 0.2500
Sc1 Sc 0.0000 0.0000 0.0000
S1 S 0.0000 0.0000 0.5000
Cl1 Cl 0.0000 0.0000 0.2619
Cl2 Cl 0.2152 0.2152 0.0000
```



No. 4
First-principles (GGA-PBE) data for a relaxed K3Dy2BiTe6 crystal, as listed in the Alexandria database.

Output
Fermi-level density of states = 0.000 states/eV per atom
uncorrected energy = -4.07 eV per atom

Geometry as CIF:
```
data_K3Dy2BiTe6
_cell_length_a 7.8591
_cell_length_b 13.6119
_cell_length_c 8.6522
_cell_angle_alpha 90.00
_cell_angle_beta 107.63
_cell_angle_gamma 90.00
_space_group_name_H-M_alt 'C 1 2/m 1'
_space_group_IT_number 12
_space_group_name_Hall '-C 2y'
loop_
_atom_site_label
_atom_site_type_symbol
_atom_site_fract_x
_atom_site_fract_y
_atom_site_fract_z
K1 K 0.0000 0.0000 0.0000
K2 K 0.0000 0.3359 0.0000
Dy1 Dy 0.0000 0.1671 0.5000
Bi1 Bi 0.0000 0.5000 0.5000
Te1 Te 0.2307 0.0000 0.7082
Te2 Te 0.2392 0.3308 0.7093
```



No. 5
First-principles (GGA-PBE) data for a relaxed RbThCuI6 crystal, as listed in the Alexandria database.

Output
Fermi-level density of states = 0.000 states/eV per atom
uncorrected energy = -3.41 eV per atom

Geometry as CIF:
```
data_RbThCuI6
_cell_length_a 7.6899
_cell_length_b 7.6899
_cell_length_c 16.9045
_cell_angle_alpha 90.00
_cell_angle_beta 90.00
_cell_angle_gamma 120.00
_space_group_name_H-M_alt 'P -3 1 c'
_space_group_IT_number 163
_space_group_name_Hall '-P 3 2c'
loop_
_atom_site_label
_atom_site_type_symbol
_atom_site_fract_x
_atom_site_fract_y
_atom_site_fract_z
Rb1 Rb 0.0000 0.0000 0.0000
Th1 Th 0.3333 0.6667 0.2500
Cu1 Cu 0.3333 0.6667 0.7500
I1 I 0.0156 0.3700 0.6476
```



No. 6
First-principles (GGA-PBE) data for a relaxed Li2NiHAu crystal, as listed in the Alexandria database.

Output
Fermi-level density of states = 0.222 states/eV per atom
uncorrected energy = -3.57 eV per atom

Geometry as CIF:
```
data_Li2NiHAu
_cell_length_a 3.9676
_cell_length_b 3.9676
_cell_length_c 3.4652
_cell_angle_alpha 90.00
_cell_angle_beta 90.00
_cell_angle_gamma 90.00
_space_group_name_H-M_alt 'P 4/m m m'
_space_group_IT_number 123
_space_group_name_Hall '-P 4 2'
loop_
_atom_site_label
_atom_site_type_symbol
_atom_site_fract_x
_atom_site_fract_y
_atom_site_fract_z
Li1 Li 0.0000 0.5000 0.0000
Ni1 Ni 0.0000 0.0000 0.5000
H1 H 0.0000 0.0000 0.0000
Au1 Au 0.5000 0.5000 0.5000
```



No. 7
First-principles (GGA-PBE) data for a relaxed TmB2 crystal, as listed in the Alexandria database.

Output
Fermi-level density of states = 0.530 states/eV per atom
calculated formation energy = 0.675 eV/atom
energy above the most stable polymorph in this dataset = 1332 meV per atom
uncorrected energy = -5.27 eV per atom

Geometry as CIF:
```
data_TmB2
_cell_length_a 2.8202
_cell_length_b 2.8202
_cell_length_c 9.0231
_cell_angle_alpha 90.00
_cell_angle_beta 90.00
_cell_angle_gamma 90.00
_space_group_name_H-M_alt 'I 4/m m m'
_space_group_IT_number 139
_space_group_name_Hall '-I 4 2'
loop_
_atom_site_label
_atom_site_type_symbol
_atom_site_fract_x
_atom_site_fract_y
_atom_site_fract_z
Tm1 Tm 0.0000 0.0000 0.0000
B1 B 0.0000 0.0000 0.2859
```



No. 8
First-principles (GGA-PBE) data for a relaxed KLi2Se2 crystal, as listed in the Alexandria database.

Output
Fermi-level density of states = 0.107 states/eV per atom
energy above the most stable polymorph in this dataset = 62 meV per atom
uncorrected energy = -3.35 eV per atom

Geometry as CIF:
```
data_KLi2Se2
_cell_length_a 8.0895
_cell_length_b 8.0895
_cell_length_c 3.1611
_cell_angle_alpha 90.00
_cell_angle_beta 90.00
_cell_angle_gamma 90.00
_space_group_name_H-M_alt 'P 4/m b m'
_space_group_IT_number 127
_space_group_name_Hall '-P 4 2ab'
loop_
_atom_site_label
_atom_site_type_symbol
_atom_site_fract_x
_atom_site_fract_y
_atom_site_fract_z
K1 K 0.0000 0.0000 0.0000
Li1 Li 0.1203 0.3797 0.0000
Se1 Se 0.1691 0.6691 0.5000
```



No. 9
First-principles (GGA-PBE) data for a relaxed CaCrCo2 crystal, as listed in the Alexandria database.

Output
Fermi-level density of states = 1.352 states/eV per atom
calculated formation energy = 0.529 eV/atom
energy above the most stable polymorph in this dataset = 257 meV per atom
uncorrected energy = -5.93 eV per atom

Geometry as CIF:
```
data_CaCrCo2
_cell_length_a 3.9899
_cell_length_b 2.8661
_cell_length_c 11.2003
_cell_angle_alpha 90.00
_cell_angle_beta 90.00
_cell_angle_gamma 90.00
_space_group_name_H-M_alt 'A m m 2'
_space_group_IT_number 38
_space_group_name_Hall 'A 2 -2'
loop_
_atom_site_label
_atom_site_type_symbol
_atom_site_fract_x
_atom_site_fract_y
_atom_site_fract_z
Ca1 Ca 0.0000 0.0000 0.0000
Cr1 Cr 0.5000 0.0000 0.3054
Co1 Co 0.0000 0.0000 0.7456
Co2 Co 0.5000 0.0000 0.6382
```



No. 10
First-principles (GGA-PBE) data for a relaxed PmY2ErTe6 crystal, as listed in the Alexandria database.

Output
uncorrected energy = -5.48 eV per atom

Geometry as CIF:
```
data_PmY2ErTe6
_cell_length_a 7.7342
_cell_length_b 7.7342
_cell_length_c 21.1546
_cell_angle_alpha 90.00
_cell_angle_beta 90.00
_cell_angle_gamma 120.00
_space_group_name_H-M_alt 'R 3'
_space_group_IT_number 146
_space_group_name_Hall 'R 3'
loop_
_atom_site_label
_atom_site_type_symbol
_atom_site_fract_x
_atom_site_fract_y
_atom_site_fract_z
Pm1 Pm 0.0000 0.0000 0.0000
Y1 Y 0.0000 0.0000 0.1869
Y2 Y 0.0000 0.0000 0.6885
Er1 Er 0.0000 0.0000 0.5021
Te1 Te 0.0006 0.3174 0.0961
Te2 Te 0.0288 0.6752 0.2610
```



No. 11
First-principles (GGA-PBE) data for a relaxed Al2HgSe crystal, as listed in the Alexandria database.

Output
Fermi-level density of states = 0.231 states/eV per atom
uncorrected energy = -2.88 eV per atom

Geometry as CIF:
```
data_Al2HgSe
_cell_length_a 2.8212
_cell_length_b 5.3525
_cell_length_c 5.3503
_cell_angle_alpha 90.00
_cell_angle_beta 90.00
_cell_angle_gamma 90.00
_space_group_name_H-M_alt 'P m m 2'
_space_group_IT_number 25
_space_group_name_Hall 'P 2 -2'
loop_
_atom_site_label
_atom_site_type_symbol
_atom_site_fract_x
_atom_site_fract_y
_atom_site_fract_z
Al1 Al 0.0000 0.0000 0.0000
Al2 Al 0.0000 0.5000 0.4985
Hg1 Hg 0.5000 0.0000 0.5000
Se1 Se 0.0000 0.5000 0.9989
```



No. 12
First-principles (GGA-PBE) data for a relaxed Ac4La5In crystal, as listed in the Alexandria database.

Output
Fermi-level density of states = 1.584 states/eV per atom
calculated formation energy = -0.088 eV/atom
energy above the most stable polymorph in this dataset = 0 meV per atom
uncorrected energy = -4.47 eV per atom

Geometry as CIF:
```
data_Ac4La5In
_cell_length_a 3.8823
_cell_length_b 3.8823
_cell_length_c 25.6306
_cell_angle_alpha 90.00
_cell_angle_beta 90.00
_cell_angle_gamma 90.00
_space_group_name_H-M_alt 'P 4/m m m'
_space_group_IT_number 123
_space_group_name_Hall '-P 4 2'
loop_
_atom_site_label
_atom_site_type_symbol
_atom_site_fract_x
_atom_site_fract_y
_atom_site_fract_z
Ac1 Ac 0.0000 0.0000 0.1052
Ac2 Ac 0.0000 0.0000 0.3162
La1 La 0.5000 0.5000 0.0000
La2 La 0.5000 0.5000 0.2108
La3 La 0.5000 0.5000 0.4203
In1 In 0.0000 0.0000 0.5000
```